Record 1
Density functional theory data (PBE) for crystalline Na2ScCu at its relaxed geometry.

Values from the calculation:
ρ = 2.83 g/cm³
ΔH_f (0 K) = 2.32 eV per formula unit
volume = 22.7 Å³ per atom
energy above the most stable polymorph in this dataset = 0.063 eV/atom

Cell: 7.1301 7.1301 7.1301 Å, 90.00 90.00 90.00°
Closest atoms and distances in Å follow each position.
Space group Fm-3m (No. 225)
Inequivalent atoms, fractional coordinates:
1 Na 0.2500 0.2500 0.2500 (multiplicity 8)  4 Cu 3.09, 4 Sc 3.09
2 Sc 0.0000 0.0000 0.0000 (multiplicity 4)  8 Na 3.09
3 Cu 0.0000 0.0000 0.5000 (multiplicity 4)  8 Na 3.09


Record 2
Density functional theory data (PBE) for crystalline NaSc2Cu2 at its relaxed geometry.

Values from the calculation:
ρ = 4.09 g/cm³
ΔH_f (0 K) = 0.20 eV per formula unit
volume = 19.5 Å³ per atom
energy above the most stable polymorph in this dataset = 0.060 eV/atom

Cell: 7.9725 7.9725 3.0690 Å, 90.00 90.00 90.00°
Closest atoms and distances in Å follow each position.
Space group P4/mbm (No. 127)
Inequivalent atoms, fractional coordinates:
1 Na 0.0000 0.0000 0.0000 (multiplicity 2)  4 Sc 3.07, 2 Na 3.07, 8 Cu 3.42
2 Sc 0.1426 0.3574 0.0000 (multiplicity 4)  6 Cu 2.76-2.84, 2 Na 3.07, 2 Sc 3.07
3 Cu 0.1457 0.6457 0.5000 (multiplicity 4)  6 Sc 2.76-2.84, 2 Cu 3.07


Record 3
Density functional theory data (PBE) for crystalline NaSc2CuSe4 at its relaxed geometry.

Values from the calculation:
ρ = 4.64 g/cm³
volume = 22.0 Å³ per atom
formation energy from raw total energies = -1.332 eV per atom

Cell: 3.8859 13.0803 13.8672 Å, 90.00 90.00 90.00°
Closest atoms and distances in Å follow each position.
Space group Cmcm (No. 63)
Inequivalent atoms, fractional coordinates:
1 Na 0.0000 0.1243 0.2500 (multiplicity 4)  6 Se 2.97-3.08
2 Sc 0.0000 0.3679 0.0697 (multiplicity 8)  6 Se 2.70-2.81
3 Cu 0.0000 0.1571 0.7500 (multiplicity 4)  4 Se 2.41-2.43
4 Se 0.0000 0.0000 0.0000 (multiplicity 4)  4 Sc 2.77
5 Se 0.0000 0.2690 0.6101 (multiplicity 8)  1 Cu 2.43, 2 Sc 2.70
6 Se 0.0000 0.4523 0.2500 (multiplicity 4)  2 Cu 2.41


- Which of these has the highest volume?
  Na2ScCu


- Which value of ρ does entry 3 give?
  4.64 g/cm³